Compound: KRb6Hg3
Source: Alexandria
Functional: GGA-PBE
Structure: optimized geometry

Calculated values
Its density is 3.17 g/cm³. The calculation puts the volume at 603.41 Å³/f.u. Its density of states at the Fermi level is 0.681 states/eV per atom. The total energy comes out at -0.916 eV per atom.

Lattice parameters (Å, degrees): 14.4967 17.8173 9.3446 90.00 90.00 90.00
Closest atoms and distances in Å follow each position.
Space group Cmc2_1 (No. 36)
Symmetry-distinct sites (fractional):
K  0.0000  0.2244  0.0000 [4 per cell]  3 Hg 3.61-3.77
Rb  0.0000  0.0156  0.3810 [4 per cell]  4 Hg 3.85-3.93
Rb  0.0000  0.3330  0.5202 [4 per cell]  3 Hg 3.77-3.80
Rb  0.1750  0.4567  0.1859 [8 per cell]  3 Hg 3.74-3.87
Rb  0.2437  0.1961  0.3140 [8 per cell]  2 Hg 3.79-3.88
Hg  0.0000  0.4183  0.8889 [4 per cell]  1 K 3.61, 5 Rb 3.77-3.87
Hg  0.1046  0.1511  0.6580 [8 per cell]  1 Hg 3.03